Computed, not measured: a relaxed structure of FeHPd2Pb at the GGA-PBE level of DFT.

Output
**E_tot**: -5.14 eV/atom
**Space-group type**: No. 123

Geometry as POSCAR:
```
FeHPd2Pb
1.0
4.050 0.000 0.000
0.000 4.050 0.000
0.000 0.000 4.213
Fe H Pd Pb
1 1 2 1
direct
0.000 0.000 0.000
0.000 0.000 0.500
0.000 0.500 0.500
0.500 0.000 0.500
0.500 0.500 0.000
```